DFT (PBE) results for a relaxed Sm5Bi2Te crystal.

Computed properties:
Formation energy from raw total energies in meV/atom: -541
DOS at the Fermi energy in states/eV/cell: 16.055
V in Å³ per cell: 571.32
Total DFT energy (no corrections) in eV/atom: -4.85

Cell: 6.264 7.207 14.052 Å, 90.00 90.00 115.76°
Fractional coordinates of all 16 atoms:
Sm (0.946, 0.892, 0.889)
Sm (0.946, 0.892, 0.611)
Sm (0.377, 0.754, 0.435)
Sm (0.377, 0.754, 0.065)
Sm (0.651, 0.302, 0.250)
Sm (0.349, 0.698, 0.750)
Sm (0.623, 0.246, 0.565)
Sm (0.623, 0.246, 0.935)
Sm (0.054, 0.108, 0.111)
Sm (0.054, 0.108, 0.389)
Bi (0.813, 0.625, 0.418)
Bi (0.813, 0.625, 0.082)
Bi (0.187, 0.375, 0.582)
Bi (0.187, 0.375, 0.918)
Te (0.762, 0.524, 0.750)
Te (0.238, 0.476, 0.250)


DFT (PBE) results for a relaxed SrAlZn crystal.

Computed properties:
DOS at the Fermi energy in states/eV/cell: 1.457
V in Å³ per cell: 73.55
E_form in eV/f.u.: -0.2
Total DFT energy (no corrections) in eV/atom: -2.30

Cell: 6.425 6.426 3.524 Å, 74.08 74.09 31.83°
Fractional coordinates of all 3 atoms:
Sr (0.330, 0.330, 0.670)
Zn (0.639, 0.639, 0.361)
Al (0.031, 0.031, 0.969)


DFT (PBE) results for a relaxed CaBeSi2 crystal.

Computed properties:
Formation energy from raw total energies in meV/atom: -143
DOS at the Fermi energy in states/eV/cell: 1.026
V in Å³ per cell: 72.39
Total DFT energy (no corrections) in eV/atom: -4.29

Cell: 4.113 4.113 5.601 Å, 75.44 75.44 52.72°
Fractional coordinates of all 4 atoms:
Be (0.750, 0.750, 0.750)
Ca (0.250, 0.250, 0.250)
Si (0.016, 0.016, 0.887)
Si (0.484, 0.484, 0.613)